# 1
# Cs4HBr2F PBE-GGA relaxed
data_Cs4HBr2F
_chemical_formula_sum 'Cs4 H1 Br2 F1'
_symmetry_space_group_name_H-M 'P 1 2/m 1'
_symmetry_Int_Tables_number 10
_cell_length_a 8.291
_cell_length_b 4.788
_cell_length_c 8.472
_cell_angle_alpha 90.00
_cell_angle_beta 108.97
_cell_angle_gamma 90.00
loop_
_symmetry_equiv_pos_as_xyz
'x,y,z'
'-x,-y,-z'
'-x,y,-z'
'x,-y,z'
loop_
_atom_site_label
_atom_site_type_symbol
_atom_site_fract_x
_atom_site_fract_y
_atom_site_fract_z
Cs1 Cs 0.231 0.000 0.210
Cs2 Cs 0.256 0.500 0.789
H1 H 0.500 0.000 0.000
Br1 Br 0.000 0.000 0.500
Br2 Br 0.500 0.500 0.500
F1 F 0.000 0.500 0.000
# - Calculated volume: 318.02 Å³/cell
# - Total DFT energy (no corrections): -3.0643 eV/atom

# 2
# CsH2BrF2 PBE-GGA relaxed
data_CsH2BrF2
_chemical_formula_sum 'Cs2 H4 Br2 F4'
_symmetry_space_group_name_H-M 'P 1 21/m 1'
_symmetry_Int_Tables_number 11
_cell_length_a 7.005
_cell_length_b 4.156
_cell_length_c 9.533
_cell_angle_alpha 90.00
_cell_angle_beta 106.69
_cell_angle_gamma 90.00
loop_
_symmetry_equiv_pos_as_xyz
'x,y,z'
'-x,-y,-z'
'-x,y+1/2,-z'
'x,-y+1/2,z'
loop_
_atom_site_label
_atom_site_type_symbol
_atom_site_fract_x
_atom_site_fract_y
_atom_site_fract_z
Cs1 Cs 0.191 0.250 0.347
H1 H 0.256 0.502 0.987
Br1 Br 0.308 0.750 0.651
F1 F 0.180 0.250 0.957
F2 F 0.320 0.750 0.029
# - Calculated volume: 265.85 Å³/cell
# - Total DFT energy (no corrections): -3.7265 eV/atom

# 3
# Cs2HfBr5F PBE-GGA relaxed
data_Cs2HfBr5F
_chemical_formula_sum 'Cs4 Hf2 Br10 F2'
_symmetry_space_group_name_H-M 'I 4 m m'
_symmetry_Int_Tables_number 107
_symmetry_space_group_name_Hall 'I 4 -2'
_cell_length_a 7.892
_cell_length_b 7.892
_cell_length_c 10.971
_cell_angle_alpha 90.00
_cell_angle_beta 90.00
_cell_angle_gamma 90.00
loop_
_atom_site_label
_atom_site_type_symbol
_atom_site_fract_x
_atom_site_fract_y
_atom_site_fract_z
Cs1 Cs 0.000 0.500 0.000
Hf1 Hf 0.000 0.000 0.252
Br1 Br 0.000 0.000 0.009
Br2 Br 0.237 0.237 0.250
F1 F 0.000 0.000 0.428
# - Calculated volume: 683.36 Å³/cell
# - Energy relative to the elements, uncorrected: -1979 meV/atom